Record 1
A relaxed Er2Cu2Pd crystal. Source: Alexandria, functional PBE.

Unit cell a=7.0703 b=7.0703 c=7.7094 alpha=90.00 beta=90.00 gamma=90.00
With the nearest neighbours (Å) after each atom.
Sites, in units of the cell vectors:
Er (0.1799, 0.3195, 0.0000)  6 Cu 2.77-2.90
Er (0.1805, 0.3201, 0.5000)  6 Cu 2.77-2.90
Er (0.3195, 0.8201, 0.0000)  6 Cu 2.77-2.90
Er (0.3201, 0.8195, 0.5000)  6 Cu 2.77-2.90
Er (0.6805, 0.1799, 0.0000)  6 Cu 2.77-2.90
Er (0.6799, 0.1805, 0.5000)  6 Cu 2.77-2.90
Er (0.8201, 0.6805, 0.0000)  6 Cu 2.77-2.90
Er (0.8195, 0.6799, 0.5000)  6 Cu 2.77-2.90
Cu (0.1212, 0.6212, 0.2500)  1 Cu 2.42
Cu (0.1212, 0.6212, 0.7500)  1 Cu 2.42
Cu (0.3788, 0.1212, 0.2500)  1 Cu 2.42
Cu (0.3788, 0.1212, 0.7500)  1 Cu 2.42
Cu (0.6212, 0.8788, 0.2500)  1 Cu 2.42
Cu (0.6212, 0.8788, 0.7500)  1 Cu 2.42
Cu (0.8788, 0.3788, 0.2500)  1 Cu 2.42
Cu (0.8788, 0.3788, 0.7500)  1 Cu 2.42
Pd (0.0000, 0.0000, 0.2473)  4 Cu 2.81
Pd (0.0000, 0.0000, 0.7527)  4 Cu 2.81
Pd (0.5000, 0.5000, 0.2527)  4 Cu 2.81
Pd (0.5000, 0.5000, 0.7473)  4 Cu 2.81

Computed properties:
Formation enthalpy at 0 K = -218 kJ/mol of formula units
Energy relative to the lowest polymorph listed for this composition = 36.0 meV/atom

Record 2
A relaxed Hf6ReTc5 crystal. Source: Alexandria, functional PBE.

Unit cell a=7.3029 b=7.3029 c=6.5265 alpha=90.00 beta=90.00 gamma=143.13
With the nearest neighbours (Å) after each atom.
Sites, in units of the cell vectors:
Hf (0.0000, 0.0000, 0.2493)  6 Tc 2.82-2.83, 2 Re 2.83
Hf (0.0000, 0.0000, 0.7507)  6 Tc 2.82-2.83, 2 Re 2.83
Hf (0.3331, 0.6669, 0.2499)  7 Tc 2.82-2.83, 1 Re 2.83
Hf (0.3331, 0.6669, 0.7501)  7 Tc 2.82-2.83, 1 Re 2.83
Hf (0.6669, 0.3331, 0.2499)  7 Tc 2.82-2.83, 1 Re 2.83
Hf (0.6669, 0.3331, 0.7501)  7 Tc 2.82-2.83, 1 Re 2.83
Re (0.5000, 0.5000, 0.5000)  8 Hf 2.83
Tc (0.1661, 0.8339, 0.5000)  8 Hf 2.82-2.83
Tc (0.1669, 0.8331, 0.0000)  8 Hf 2.82-2.83
Tc (0.5000, 0.5000, 0.0000)  8 Hf 2.82-2.83
Tc (0.8331, 0.1669, 0.0000)  8 Hf 2.82-2.83
Tc (0.8339, 0.1661, 0.5000)  8 Hf 2.82-2.83

Computed properties:
Formation enthalpy at 0 K = -526 kJ/mol of formula units

| no. | E_tot (eV per formula unit) |
| --- | --- |
| 1 | -24.77 |
| 2 | -129.45 |